Density functional theory data (PBE) for a relaxed structure of Mg2ScCo2.

a = 7.3019 Å, b = 7.3019 Å, c = 2.9460 Å
α = 90.00°, β = 90.00°, γ = 90.00°
Sites, in units of the cell vectors:
Co 0.3267 0.1733 0.5000
Co 0.1733 0.6733 0.5000
Co 0.8267 0.3267 0.5000
Co 0.6733 0.8267 0.5000
Mg 0.8726 0.6274 0.0000
Mg 0.6274 0.1274 0.0000
Mg 0.3726 0.8726 0.0000
Mg 0.1274 0.3726 0.0000
Sc 0.5000 0.5000 0.0000
Sc 0.0000 0.0000 0.0000

Summary:
The formation enthalpy at 0 K is 0.76 eV per formula unit. Its crystal system is tetragonal. As for the density of states at the Fermi level: 7.30 states/eV/cell. The distance to the lowest polymorph of the same formula is 85 meV per atom. The total moment is 0.00 μB/f.u.

---

Density functional theory data (PBE) for a relaxed structure of TaPAu.

a = 4.3625 Å, b = 4.3625 Å, c = 4.3625 Å
α = 60.00°, β = 60.00°, γ = 60.00°
Sites, in units of the cell vectors:
Au 0.0000 0.0000 0.0000
Ta 0.2500 0.2500 0.2500
P 0.5000 0.5000 0.5000

Summary:
The formation enthalpy at 0 K is 0.48 eV per formula unit. Its crystal system is cubic. As for the density of states at the Fermi level: 2.10 states/eV/cell. The distance to the lowest polymorph of the same formula is 325 meV per atom. The total moment is 0.00 μB/f.u.

---

Density functional theory data (PBE) for a relaxed structure of IrPtPb2O.

a = 3.9708 Å, b = 4.5271 Å, c = 6.1071 Å
α = 71.11°, β = 88.76°, γ = 88.54°
Sites, in units of the cell vectors:
Pb 0.6682 0.6830 0.5980
Pb 0.1318 0.3280 0.1648
Ir 0.6488 0.1000 0.9218
Pt 0.1577 0.0920 0.6429
O 0.7258 0.7359 0.2009

Summary:
Its crystal system is triclinic. As for the density of states at the Fermi level: 3.95 states/eV/cell. The distance to the lowest polymorph of the same formula is 59 meV per atom. The total moment is 0.00 μB/f.u.

---

Density functional theory data (PBE) for a relaxed structure of Dy2Zn3Ga4Pd.

a = 4.1598 Å, b = 4.1598 Å, c = 10.6582 Å
α = 90.00°, β = 90.00°, γ = 90.00°
Sites, in units of the cell vectors:
Ga 0.0000 0.5000 0.3641
Ga 0.5000 0.0000 0.6359
Ga 0.5000 0.5000 0.0000
Ga 0.0000 0.0000 0.0000
Dy 0.0000 0.5000 0.7486
Dy 0.5000 0.0000 0.2514
Zn 0.0000 0.5000 0.1382
Zn 0.5000 0.0000 0.8618
Zn 0.0000 0.0000 0.5000
Pd 0.5000 0.5000 0.5000

Summary:
The formation enthalpy at 0 K is -5.02 eV per formula unit. Its crystal system is tetragonal. As for the density of states at the Fermi level: 4.78 states/eV/cell. The total moment is 0.00 μB/f.u.